AcTbTh2, relaxed, DFT PBE-GGA; formation energy = 135 meV per atom; excess energy over the best structure of this formula in the dataset = 21 meV per atom
1.0
-0.804 5.177 -0.396
-4.764 -0.872 -1.720
-1.761 0.096 4.827
Ac Tb Th
1 1 2
Direct
0.500 0.000 0.000
0.500 0.500 0.500
0.000 0.000 0.500
0.000 0.500 0.000

AcTbTh2, relaxed, DFT PBE-GGA; formation energy = 218 meV per atom; excess energy over the best structure of this formula in the dataset = 104 meV per atom
1.0
-1.862 -2.449 2.949
2.743 -3.141 -0.877
4.874 2.758 5.367
Ac Tb Th
1 1 2
Direct
0.500 0.500 0.500
0.500 0.500 0.000
0.000 0.000 0.783
0.000 0.000 0.217

AcTb14Th, relaxed, DFT PBE-GGA; formation energy = 28 meV per atom
1.0
-3.826 -5.917 -1.456
6.364 0.986 -3.209
5.264 -5.553 8.733
Ac Tb Th
1 14 1
Direct
0.708 0.292 0.500
0.042 0.958 0.000
0.541 0.459 0.000
0.208 0.291 0.500
0.044 0.458 0.000
0.709 0.792 0.500
0.542 0.956 0.000
0.372 0.121 0.754
0.372 0.121 0.246
0.879 0.628 0.754
0.879 0.628 0.246
0.373 0.627 0.749
0.373 0.627 0.251
0.877 0.123 0.756
0.877 0.123 0.244
0.206 0.794 0.500

AcTb2Th, relaxed, DFT PBE-GGA; formation energy = 153 meV per atom; excess energy over the best structure of this formula in the dataset = 113 meV per atom
1.0
-3.821 -0.373 -4.376
-2.593 -5.078 -1.174
-5.666 -0.706 1.135
Ac Tb Th
1 2 1
Direct
0.500 0.500 0.500
0.250 0.250 0.250
0.750 0.750 0.750
0.000 0.000 0.000